1.
Computed, not measured: a geometry-optimized ThInCoCu structure at the PBE level of DFT.

Structure (POSCAR):
```
ThInCoCu
1.0
4.773 0.000 0.000
2.387 4.134 0.000
2.387 1.378 3.897
Co Cu Th In
1 1 1 1
direct
0.750 0.750 0.750 Co
0.250 0.250 0.250 Cu
0.500 0.500 0.500 Th
0.000 0.000 0.000 In
```

The space-group type is F-43m, No. 216. The calculation puts the formation energy at -0.128 eV per atom. Its uncorrected energy is -5.468 eV/atom. The calculation puts the total magnetic moment at 0.17 μB per atom.

2.
Computed, not measured: a geometry-optimized SrTa2Co2 structure at the PBE level of DFT.

Structure (POSCAR):
```
SrTa2Co2
1.0
-0.013 -5.838 -5.112
1.554 -5.010 5.718
-2.913 -0.389 0.451
Sr Co Ta
2 4 4
direct
0.000 0.000 0.000 Sr
0.500 0.500 0.000 Sr
0.377 0.877 0.000 Co
0.877 0.623 0.000 Co
0.623 0.123 0.000 Co
0.123 0.377 0.000 Co
0.147 0.647 0.500 Ta
0.647 0.853 0.500 Ta
0.853 0.353 0.500 Ta
0.353 0.147 0.500 Ta
```

The distance to the lowest polymorph of the same formula is 1.44 eV per formula unit. The space-group type is P4/mbm, No. 127. The calculation puts the formation energy at 0.379 eV per atom. Its uncorrected energy is -7.540 eV/atom. The calculation puts the total magnetic moment at 0.00 μB per atom.

3.
Computed, not measured: a geometry-optimized CrIr2Au structure at the PBE level of DFT.

Structure (POSCAR):
```
CrIr2Au
1.0
2.750 0.000 0.000
0.000 2.750 0.000
0.000 0.000 7.791
Au Cr Ir
1 1 2
direct
0.500 0.500 0.250 Au
0.500 0.500 0.750 Cr
0.000 0.000 0.967 Ir
0.000 0.000 0.533 Ir
```

The distance to the lowest polymorph of the same formula is 0.06 eV per formula unit. The space-group type is P4/mmm, No. 123. The calculation puts the formation energy at 0.038 eV per atom. Its uncorrected energy is -7.617 eV/atom. The calculation puts the total magnetic moment at 0.00 μB per atom.

4.
Computed, not measured: a geometry-optimized Fe2HIrRu structure at the PBE level of DFT.

Structure (POSCAR):
```
Fe2HIrRu
1.0
-3.266 -1.769 0.781
1.930 -3.083 1.087
0.124 1.301 3.468
Ru Ir Fe H
1 1 2 1
direct
0.000 0.000 0.500 Ru
0.500 0.500 0.500 Ir
0.000 0.500 0.000 Fe
0.500 0.000 0.000 Fe
0.000 0.000 0.000 H
```

The distance to the lowest polymorph of the same formula is 0.00 eV per formula unit. The space-group type is P4/mmm, No. 123. Its uncorrected energy is -7.619 eV/atom. The calculation puts the total magnetic moment at 0.78 μB per atom.

5.
Computed, not measured: a geometry-optimized VReNi2H structure at the PBE level of DFT.

Structure (POSCAR):
```
VReNi2H
1.0
-0.090 -3.049 1.932
-1.296 -1.777 -2.864
3.711 -0.842 -1.157
Re V H Ni
1 1 1 2
direct
0.000 0.000 0.500 Re
0.500 0.500 0.500 V
0.000 0.000 0.000 H
0.000 0.500 0.000 Ni
0.500 0.000 0.000 Ni
```

The distance to the lowest polymorph of the same formula is 0.03 eV per formula unit. The space-group type is P4/mmm, No. 123. Its uncorrected energy is -7.345 eV/atom. The calculation puts the total magnetic moment at 0.00 μB per atom.

6.
Computed, not measured: a geometry-optimized Y2GaSi3Pt4 structure at the PBE level of DFT.

Structure (POSCAR):
```
Y2GaSi3Pt4
1.0
-1.320 -3.692 1.533
0.828 -1.832 -3.699
9.305 -2.042 3.095
Y Ga Si Pt
2 1 3 4
direct
0.500 0.000 0.253 Y
0.000 0.500 0.747 Y
0.500 0.500 0.500 Ga
0.000 0.000 0.500 Si
0.500 0.000 0.870 Si
0.000 0.500 0.130 Si
0.500 0.500 0.000 Pt
0.000 0.000 0.000 Pt
0.500 0.000 0.635 Pt
0.000 0.500 0.365 Pt
```

The space-group type is P-4m2, No. 115. Its uncorrected energy is -6.720 eV/atom. The calculation puts the total magnetic moment at 0.00 μB per atom.

Repeat the first record exactly.
Computed, not measured: a geometry-optimized ThInCoCu structure at the PBE level of DFT.

Structure (POSCAR):
```
ThInCoCu
1.0
4.773 0.000 0.000
2.387 4.134 0.000
2.387 1.378 3.897
Co Cu Th In
1 1 1 1
direct
0.750 0.750 0.750 Co
0.250 0.250 0.250 Cu
0.500 0.500 0.500 Th
0.000 0.000 0.000 In
```

The space-group type is F-43m, No. 216. The calculation puts the formation energy at -0.128 eV per atom. Its uncorrected energy is -5.468 eV/atom. The calculation puts the total magnetic moment at 0.17 μB per atom.